VASP calculation (PBE) on an optimized crystal structure of ReSiP4.

```
6
Lattice="0.0000 3.4943 3.4943 3.4943 0.0000 3.4943 3.4943 3.4943 0.0000" Properties=species:S:1:pos:R:3 pbc="T T T"
Re 0.0000 0.0000 0.0000
Si 5.2415 5.2415 5.2415
P 2.6394 2.6394 2.6394
P 4.3493 4.3493 2.6394
P 4.3493 2.6394 4.3493
P 2.6394 4.3493 4.3493
```

=====

VASP calculation (PBE) on an optimized crystal structure of ReSiP.

```
3
Lattice="4.0848 0.0000 0.0000 -2.0424 3.5376 0.0000 0.0000 0.0000 2.9770" Properties=species:S:1:pos:R:3 pbc="T T T"
Re 0.0000 0.0000 0.0000
Si 2.0424 1.1792 1.4885
P 0.0000 2.3584 0.0000
```

Computed properties:
ΔE to the lowest computed polymorph   0.397 eV per atom

=====

VASP calculation (PBE) on an optimized crystal structure of ReSiP.

```
3
Lattice="0.0000 2.4239 6.0272 1.5008 0.0000 6.0272 1.5008 2.4239 0.0000" Properties=species:S:1:pos:R:3 pbc="T T T"
Re 0.0000 0.0000 0.0000
Si 1.5008 2.4239 3.9966
P 1.5008 2.4239 7.8787
```

Computed properties:
ΔE to the lowest computed polymorph   0.536 eV per atom

=====

Calculated volume (Å³/atom)
14.22 14.34 14.62
Formation energy without anion corrections (eV/atom)
1.036 0.236 0.375